[1]
Below is an optimized crystal structure of MnZn3Ru, with properties calculated at the PBE level.

Offset from the most stable computed form   0 meV per atom
Calculated density   5.549 g cm⁻³
Calculated volume   21.08 A^3/atom
Symmetry   Pm-3m, No. 221
Total energy   -3.721 eV/atom
N(E_F)   2.18 states/eV per cell
Formation energy   732.4 meV per atom

Cell: 4.724 4.724 4.724 Å, 90.00 90.00 90.00°
Site moments in Bohr magnetons follow the coordinates.
Element x y z (fractional)
Mn 0.500 0.500 0.500  4.32
Zn 0.000 0.500 0.000  -0.03
Zn 0.000 0.000 0.500  -0.01
Zn 0.500 0.000 0.000  -0.02
Ru 0.000 0.000 0.000  0.31

---

[2]
Below is an optimized crystal structure of Mn2ZnRu, with properties calculated at the PBE level.

Calculated density   8.882 g cm⁻³
Calculated volume   12.92 A^3/atom
Symmetry   Cmm2, No. 35
Total energy   -6.988 eV/atom
N(E_F)   5.87 states/eV per cell
Formation energy   234.3 meV per atom

Cell: 2.589 2.589 8.349 Å, 90.00 90.00 112.64°
Site moments in Bohr magnetons follow the coordinates.
Element x y z (fractional)
Mn 0.000 0.000 0.013  1.69
Mn 0.500 0.500 0.241  1.66
Zn 0.500 0.500 0.758  -0.02
Ru 0.000 0.000 0.488  0.21

---

[3]
Below is an optimized crystal structure of MnZnRu2, with properties calculated at the PBE level.

Calculated density   10.041 g cm⁻³
Calculated volume   13.33 A^3/atom
Symmetry   R3m, No. 160
Total energy   -7.112 eV/atom
N(E_F)   3.08 states/eV per cell
Formation energy   137.3 meV per atom

Cell: 8.723 8.723 8.723 Å, 17.66 17.66 17.66°
Site moments in Bohr magnetons follow the coordinates.
Element x y z (fractional)
Ru 0.004 0.004 0.004  -0.17
Ru 0.251 0.251 0.251  -0.13
Zn 0.498 0.498 0.498  -0.01
Mn 0.747 0.747 0.747  0.61

---

[4]
Below is an optimized crystal structure of Mn2ZnRu, with properties calculated at the PBE level.

Calculated density   8.313 g cm⁻³
Calculated volume   13.80 A^3/atom
Symmetry   Cmmm, No. 65
Total energy   -7.001 eV/atom
N(E_F)   4.08 states/eV per cell
Formation energy   220.8 meV per atom

Cell: 2.656 2.656 8.407 Å, 90.00 90.00 111.40°
Site moments in Bohr magnetons follow the coordinates.
Element x y z (fractional)
Mn 0.000 0.000 0.495  3.02
Mn 0.000 0.000 0.005  3.02
Ru 0.500 0.500 0.250  0.08
Zn 0.500 0.500 0.750  -0.05

---

[5]
Below is an optimized crystal structure of ZrMnZnRu, with properties calculated at the PBE level.

Calculated density   8.292 g cm⁻³
Calculated volume   15.65 A^3/atom
Symmetry   F-43m, No. 216
Total energy   -7.259 eV/atom
N(E_F)   0.78 states/eV per cell
Formation energy   -192.2 meV per atom

Cell: 4.457 4.457 4.457 Å, 60.00 60.00 60.00°
Site moments in Bohr magnetons follow the coordinates.
Element x y z (fractional)
Zr 0.000 0.000 0.000  -0.28
Ru 0.250 0.250 0.250  0.21
Mn 0.750 0.750 0.750  3.13
Zn 0.500 0.500 0.500  -0.04

---

[6]
Below is an optimized crystal structure of Zr3MnRu, with properties calculated at the PBE level.

Offset from the most stable computed form   375 meV per atom
Calculated density   5.881 g cm⁻³
Calculated volume   24.26 A^3/atom
Symmetry   Pm-3m, No. 221
Total energy   -7.901 eV/atom
N(E_F)   9.38 states/eV per cell
Formation energy   917.5 meV per atom

Cell: 4.950 4.950 4.950 Å, 90.00 90.00 90.00°
Site moments in Bohr magnetons follow the coordinates.
Element x y z (fractional)
Zr 0.000 0.000 0.500  0.02
Zr 0.000 0.500 0.000  0.07
Zr 0.500 0.000 0.000  0.06
Ru 0.000 0.000 0.000  0.01
Mn 0.500 0.500 0.500  0.15

---

[7]
Below is an optimized crystal structure of ZrMn2Ru, with properties calculated at the PBE level.

Offset from the most stable computed form   231 meV per atom
Calculated density   8.348 g cm⁻³
Calculated volume   15.03 A^3/atom
Symmetry   C2/m, No. 12
Total energy   -8.890 eV/atom
N(E_F)   5.71 states/eV per cell
Formation energy   150.8 meV per atom

Cell: 4.916 4.916 2.850 Å, 81.12 81.12 114.45°
Site moments in Bohr magnetons follow the coordinates.
Element x y z (fractional)
Ru 0.500 0.000 0.500  -0.03
Zr 0.000 0.500 0.500  -0.42
Mn 0.000 0.000 0.000  2.39
Mn 0.500 0.500 0.000  2.39

---

[8]
Below is an optimized crystal structure of ZrMn2Ru2, with properties calculated at the PBE level.

Offset from the most stable computed form   0 meV per atom
Calculated density   9.384 g cm⁻³
Calculated volume   14.27 A^3/atom
Symmetry   P4/mbm, No. 127
Total energy   -9.097 eV/atom
N(E_F)   8.30 states/eV per cell
Formation energy   -9.1 meV per atom

Cell: 7.229 7.229 2.731 Å, 90.00 90.00 90.00°
Element x y z (fractional)
Mn 0.384 0.884 0.000
Mn 0.884 0.616 0.000
Mn 0.116 0.384 0.000
Mn 0.616 0.116 0.000
Zr 0.000 0.000 0.000
Zr 0.500 0.500 0.000
Ru 0.827 0.327 0.500
Ru 0.173 0.673 0.500
Ru 0.327 0.173 0.500
Ru 0.673 0.827 0.500

---

[9]
Below is an optimized crystal structure of Zr3MnRu, with properties calculated at the PBE level.

Offset from the most stable computed form   0 meV per atom
Calculated density   6.845 g cm⁻³
Calculated volume   20.85 A^3/atom
Symmetry   Pm-3m, No. 221
Total energy   -8.275 eV/atom
N(E_F)   4.94 states/eV per cell
Formation energy   542.6 meV per atom

Cell: 4.706 4.706 4.706 Å, 90.00 90.00 90.00°
Element x y z (fractional)
Zr 0.500 0.000 0.000
Zr 0.000 0.000 0.500
Zr 0.000 0.500 0.000
Mn 0.000 0.000 0.000
Ru 0.500 0.500 0.500

---

[10]
Below is an optimized crystal structure of ZrMnRu2, with properties calculated at the PBE level.

Calculated density   9.241 g cm⁻³
Calculated volume   15.65 A^3/atom
Symmetry   P4mm, No. 99
Total energy   -9.008 eV/atom
N(E_F)   4.51 states/eV per cell
Formation energy   59.3 meV per atom

Cell: 3.208 3.208 6.083 Å, 90.00 90.00 90.00°
Site moments in Bohr magnetons follow the coordinates.
Element x y z (fractional)
Mn 0.500 0.500 0.780  2.61
Ru 0.000 0.000 0.977  0.22
Ru 0.500 0.500 0.245  -0.01
Zr 0.000 0.000 0.498  -0.19

---

[11]
Below is an optimized crystal structure of ZrMn2Ru, with properties calculated at the PBE level.

Offset from the most stable computed form   9 meV per atom
Calculated density   8.170 g cm⁻³
Calculated volume   15.35 A^3/atom
Symmetry   Pmmm, No. 47
Total energy   -9.111 eV/atom
N(E_F)   3.57 states/eV per cell
Formation energy   -70.7 meV per atom

Cell: 3.266 4.326 4.347 Å, 90.00 90.00 90.00°
Site moments in Bohr magnetons follow the coordinates.
Element x y z (fractional)
Zr 0.000 0.500 0.500  0.20
Ru 0.500 0.000 0.500  0.12
Mn 0.500 0.500 0.000  -2.17
Mn 0.000 0.000 0.000  3.43

---

[12]
Below is an optimized crystal structure of ZrMn2Ru, with properties calculated at the PBE level.

Offset from the most stable computed form   173 meV per atom
Calculated density   8.440 g cm⁻³
Calculated volume   14.86 A^3/atom
Symmetry   Fm-3m, No. 225
Total energy   -8.948 eV/atom
N(E_F)   9.25 states/eV per cell
Formation energy   92.9 meV per atom

Cell: 4.381 4.381 4.381 Å, 60.00 60.00 60.00°
Site moments in Bohr magnetons follow the coordinates.
Element x y z (fractional)
Zr 0.000 0.000 0.000  -0.42
Ru 0.500 0.500 0.500  0.25
Mn 0.750 0.750 0.750  2.37
Mn 0.250 0.250 0.250  2.37

---

[13]
Below is an optimized crystal structure of ZrMnRu2, with properties calculated at the PBE level.

Calculated density   9.247 g cm⁻³
Calculated volume   15.64 A^3/atom
Symmetry   Pmmm, No. 47
Total energy   -9.091 eV/atom
N(E_F)   4.34 states/eV per cell
Formation energy   -23.2 meV per atom

Cell: 3.224 4.569 4.246 Å, 90.00 90.00 90.00°
Site moments in Bohr magnetons follow the coordinates.
Element x y z (fractional)
Ru 0.000 0.000 0.000  0.28
Ru 0.500 0.500 0.000  0.44
Zr 0.500 0.000 0.500  -0.24
Mn 0.000 0.500 0.500  2.98

---

[14]
Below is an optimized crystal structure of ZrMnRu2, with properties calculated at the PBE level.

Calculated density   9.211 g cm⁻³
Calculated volume   15.70 A^3/atom
Symmetry   C2/m, No. 12
Total energy   -9.039 eV/atom
N(E_F)   4.62 states/eV per cell
Formation energy   28.3 meV per atom

Cell: 5.128 5.147 2.848 Å, 77.29 83.47 117.82°
Site moments in Bohr magnetons follow the coordinates.
Element x y z (fractional)
Ru 0.500 0.000 0.500  0.20
Ru 0.000 0.000 0.000  0.20
Zr 0.000 0.500 0.500  -0.23
Mn 0.500 0.500 0.000  3.15